Computed, not measured: crystalline SrRhIN2 at its relaxed geometry at the PBE level of DFT.

formation energy (no corrections): 0.604 eV/atom
magnetic moment: 0.66 μB/atom
volume: 99.61 Å³/cell
D(E_F): 3.6 states/eV/f.u.

a b c (Å): 4.2840 4.2840 5.4275
angles (deg): 90.00 90.00 90.00
With the nearest neighbours (Å) after each atom.
Element x y z (fractional)
I1 0.0000 0.0000 0.5000  2 Rh 2.71, 4 Sr 3.03
N1 0.5000 0.0000 0.0000  2 Rh 2.14
Rh1 0.0000 0.0000 0.0000  4 N 2.14
Sr1 0.5000 0.5000 0.5000  4 I 3.03
N2 0.0000 0.5000 0.0000  2 Rh 2.14